This record from Alexandria via LeMat-Bulk describes a geometry-optimized Nd3DyTm6 structure. The functional is PBE-GGA.

Computed properties:
Relative energy among the computed polymorphs ... 2.31 kcal/mol of atoms
Formation energy from the elements ... 0.17 eV per atom
E ... -44.0 eV per cell
Density ... 8334 kg/m³
DOS at the Fermi energy ... 11.6 states/eV/cell
Magnetic moment ... 0.0 μB/f.u.
Symmetry ... No. 2

Structure (CIF):
```
data_Nd3DyTm6
_chemical_formula_sum 'Nd3 Dy1 Tm6'
_cell_length_a 6.489
_cell_length_b 9.562
_cell_length_c 6.533
_cell_angle_alpha 110.84
_cell_angle_beta 120.15
_cell_angle_gamma 89.32
_space_group_name_H-M_alt 'P 1'
_space_group_IT_number 1
_space_group_name_Hall 'P 1'
loop_
_atom_site_label
_atom_site_fract_x
_atom_site_fract_y
_atom_site_fract_z
Nd1 0.855 0.309 0.865
Nd2 0.145 0.691 0.135
Nd3 0.000 0.000 0.000
Dy1 0.500 0.500 0.000
Tm1 0.438 0.315 0.303
Tm2 0.994 0.685 0.553
Tm3 0.562 0.685 0.697
Tm4 0.006 0.315 0.447
Tm5 0.345 0.052 0.703
Tm6 0.655 0.948 0.297
```